VASP calculation (PBE with a Hubbard U) on crystalline SrLa3Cr4O12 at its relaxed geometry.

For the total energy, the calculation gives -7.92 eV per atom.

The structure in extended XYZ format:
```
20
Lattice="-2.902 1.833 4.367 1.162 -6.911 3.525 4.698 1.971 2.247" Properties=species:S:1:pos:R:3 pbc="T T T"
Cr -2.897 1.829 4.371
Cr 0.896 1.900 3.310
Cr 0.579 -3.449 1.763
Cr 1.478 -1.539 5.065
O 4.640 0.172 3.124
O -1.684 -3.307 6.958
O 2.141 -3.988 8.539
O 2.210 -0.736 6.661
O 0.759 -2.480 3.540
O -0.369 -1.170 5.759
O 0.827 0.924 1.574
O 1.489 0.132 4.142
O 3.974 -4.536 6.403
O 1.438 -3.270 5.980
O 3.347 -1.940 4.454
O -1.030 1.532 3.680
La -0.575 -4.261 4.869
La 0.308 -2.403 8.123
La 2.653 -0.673 1.999
Sr 3.543 1.140 5.310
```